Record 1
Material: Pm2PrSmEr
Method: DFT, PBE-GGA
State: relaxed

Output
The density of states at the Fermi level comes out at 12.85 states/eV/cell. As for the electronic total energy: -44.39 eV for the cell shown. The formation energy comes out at 0.273 eV/atom.

Cell: 8.4346 6.5977 6.2887 Å, 90.00 93.89 90.00°
Last column: nearest neighbours and their distance in Å.
Fractional positions:
Pm1 0.1889 0.1911 0.2719  1 Sm 3.13, 1 Pm 3.18, 1 Er 3.50
Pm2 0.1889 0.8089 0.7719  1 Sm 3.13, 1 Pm 3.18, 1 Er 3.50
Pm3 0.8111 0.1911 0.2281  1 Sm 3.13, 1 Pm 3.18, 1 Er 3.50
Pm4 0.8111 0.8089 0.7281  1 Sm 3.13, 1 Pm 3.18, 1 Er 3.50
Pr1 0.5000 0.5000 0.0000  2 Pr 3.14, 2 Sm 3.27
Pr2 0.5000 0.5000 0.5000  2 Pr 3.14, 2 Sm 3.27
Sm1 0.5000 0.0658 0.7500  2 Pm 3.13, 2 Sm 3.26, 2 Pr 3.27
Sm2 0.5000 0.9342 0.2500  2 Pm 3.13, 2 Sm 3.26, 2 Pr 3.27
Er1 0.0000 0.3357 0.7500  8 Pm 3.50-3.82, 2 Er 3.82
Er2 0.0000 0.6643 0.2500  8 Pm 3.50-3.82, 2 Er 3.82

---

Record 2
Material: Pm2Pr4Sm2Er
Method: DFT, PBE-GGA
State: relaxed

Output
The density of states at the Fermi level comes out at 14.33 states/eV/cell. As for the electronic total energy: -42.47 eV for the cell shown. The formation energy comes out at 0.016 eV/atom.

Cell: 8.1885 8.1885 8.1602 Å, 107.64 107.64 36.91°
Last column: nearest neighbours and their distance in Å.
Fractional positions:
Pm1 0.1112 0.1112 0.1698  1 Er 3.64, 3 Sm 3.64, 7 Pr 3.65-3.69, 1 Pm 3.67
Pm2 0.8888 0.8888 0.8302  1 Er 3.64, 3 Sm 3.64, 7 Pr 3.65-3.69, 1 Pm 3.67
Pr1 0.2218 0.2218 0.8312  1 Er 3.64, 3 Sm 3.64-3.65, 3 Pm 3.67-3.69, 5 Pr 3.67-3.68
Pr2 0.4453 0.4453 0.1688  2 Sm 3.63-3.65, 2 Er 3.64, 4 Pm 3.65-3.68, 4 Pr 3.67-3.68
Pr3 0.5547 0.5547 0.8312  2 Sm 3.63-3.65, 2 Er 3.64, 4 Pm 3.65-3.68, 4 Pr 3.67-3.68
Pr4 0.7782 0.7782 0.1688  1 Er 3.64, 3 Sm 3.64-3.65, 3 Pm 3.67-3.69, 5 Pr 3.67-3.68
Sm1 0.3338 0.3338 0.5001  5 Pr 3.63-3.65, 3 Pm 3.64, 2 Er 3.66, 2 Sm 3.67
Sm2 0.6662 0.6662 0.4999  5 Pr 3.63-3.65, 3 Pm 3.64, 2 Er 3.66, 2 Sm 3.67
Er1 0.0000 0.0000 0.5000  2 Pm 3.64, 6 Pr 3.64, 4 Sm 3.66

---

Record 3
Material: Pm6PrSm2Er3
Method: DFT, PBE-GGA
State: relaxed

Output
The density of states at the Fermi level comes out at 15.60 states/eV/cell. As for the electronic total energy: -56.21 eV for the cell shown. The formation energy comes out at 0.016 eV/atom.

Cell: 6.2738 6.2738 11.9451 Å, 95.01 95.01 120.00°
Last column: nearest neighbours and their distance in Å.
Fractional positions:
Pm1 0.0853 0.4192 0.7544  3 Er 3.56-3.57, 6 Pm 3.62-3.63, 2 Sm 3.65, 1 Pr 3.65
Pm2 0.2485 0.2485 0.2456  3 Er 3.57, 6 Pm 3.62-3.63, 1 Pr 3.65, 2 Sm 3.65
Pm3 0.4192 0.0853 0.7544  3 Er 3.56-3.57, 6 Pm 3.62-3.63, 2 Sm 3.65, 1 Pr 3.65
Pm4 0.5808 0.9147 0.2456  3 Er 3.56-3.57, 6 Pm 3.62-3.63, 2 Sm 3.65, 1 Pr 3.65
Pm5 0.7515 0.7515 0.7544  3 Er 3.57, 6 Pm 3.62-3.63, 1 Pr 3.65, 2 Sm 3.65
Pm6 0.9147 0.5808 0.2456  3 Er 3.56-3.57, 6 Pm 3.62-3.63, 2 Sm 3.65, 1 Pr 3.65
Pr1 0.0000 0.0000 0.5000  6 Sm 3.62, 6 Pm 3.65
Sm1 0.3334 0.6666 0.5000  3 Sm 3.62, 3 Pr 3.62, 6 Pm 3.65
Sm2 0.6666 0.3334 0.5000  3 Sm 3.62, 3 Pr 3.62, 6 Pm 3.65
Er1 0.1668 0.8332 0.0000  6 Pm 3.56-3.57, 6 Er 3.62
Er2 0.5000 0.5000 0.0000  6 Pm 3.57, 6 Er 3.62
Er3 0.8332 0.1668 0.0000  6 Pm 3.56-3.57, 6 Er 3.62

---

Record 4
Material: Pm2Pr2SmEr2
Method: DFT, PBE-GGA
State: relaxed

Output
The density of states at the Fermi level comes out at 9.83 states/eV/cell. As for the electronic total energy: -31.32 eV for the cell shown. The formation energy comes out at 0.226 eV/atom.

Cell: 6.5411 6.5411 8.0900 Å, 109.64 109.64 50.63°
Last column: nearest neighbours and their distance in Å.
Fractional positions:
Pm1 0.1644 0.1644 0.4171  3 Er 3.32-3.37, 1 Pr 3.41, 2 Pm 3.42, 2 Sm 3.61
Pm2 0.8356 0.8356 0.5829  3 Er 3.32-3.37, 1 Pr 3.41, 2 Pm 3.42, 2 Sm 3.61
Pr1 0.1232 0.1232 0.8993  1 Pm 3.41, 5 Er 3.48-3.79
Pr2 0.8768 0.8768 0.1007  1 Pm 3.41, 5 Er 3.48-3.79
Sm1 0.5000 0.5000 0.5000  2 Er 3.28, 4 Pm 3.61
Er1 0.3929 0.3929 0.8203  1 Er 3.07, 1 Sm 3.28, 3 Pm 3.32-3.37
Er2 0.6071 0.6071 0.1797  1 Er 3.07, 1 Sm 3.28, 3 Pm 3.32-3.37

---

Record 5
Material: PmPr4Sm2Er2
Method: DFT, PBE-GGA
State: relaxed

Output
The density of states at the Fermi level comes out at 14.12 states/eV/cell. As for the electronic total energy: -42.26 eV for the cell shown. The formation energy comes out at 0.020 eV/atom.

Cell: 8.1563 8.1563 8.1253 Å, 107.49 107.49 36.84°
Last column: nearest neighbours and their distance in Å.
Fractional positions:
Pm1 0.0000 0.0000 0.0000  6 Pr 3.62-3.63, 2 Sm 3.63, 4 Er 3.66
Pr1 0.2226 0.2226 0.3297  3 Er 3.59-3.62, 1 Pm 3.63, 3 Sm 3.63-3.68, 5 Pr 3.67-3.68
Pr2 0.4457 0.4457 0.6694  2 Pm 3.62, 2 Er 3.63-3.65, 4 Sm 3.64-3.67, 4 Pr 3.65-3.67
Pr3 0.5543 0.5543 0.3306  2 Pm 3.62, 2 Er 3.63-3.65, 4 Sm 3.64-3.67, 4 Pr 3.65-3.67
Pr4 0.7774 0.7774 0.6703  3 Er 3.59-3.62, 1 Pm 3.63, 3 Sm 3.63-3.68, 5 Pr 3.67-3.68
Sm1 0.1117 0.1117 0.6695  3 Er 3.61-3.62, 1 Pm 3.63, 7 Pr 3.63-3.68, 1 Sm 3.68
Sm2 0.8883 0.8883 0.3305  3 Er 3.61-3.62, 1 Pm 3.63, 7 Pr 3.63-3.68, 1 Sm 3.68
Er1 0.3320 0.3320 0.0007  5 Pr 3.59-3.65, 3 Sm 3.61-3.62, 2 Er 3.61, 2 Pm 3.66
Er2 0.6680 0.6680 0.9993  5 Pr 3.59-3.65, 3 Sm 3.61-3.62, 2 Er 3.61, 2 Pm 3.66

---

Record 6
Material: PmPr2Sm5Er
Method: DFT, PBE-GGA
State: relaxed

Output
The density of states at the Fermi level comes out at 26.02 states/eV/cell. As for the electronic total energy: -80.08 eV for the cell shown. The formation energy comes out at 0.270 eV/atom.

Cell: 10.1684 10.1684 10.1684 Å, 128.94 128.94 75.11°
Last column: nearest neighbours and their distance in Å.
Fractional positions:
Pm1 0.2500 0.2500 0.0000  8 Sm 3.59
Pm2 0.7500 0.7500 0.0000  8 Sm 3.59
Pr1 0.1191 0.6191 0.7382  1 Pr 2.95, 2 Sm 3.08
Pr2 0.3809 0.1191 0.5000  1 Pr 2.95, 2 Sm 3.08
Pr3 0.6191 0.8809 0.5000  1 Pr 2.95, 2 Sm 3.08
Pr4 0.8809 0.3809 0.2618  1 Pr 2.95, 2 Sm 3.08
Sm1 0.0000 0.0000 0.0000  4 Pr 3.50, 8 Sm 3.87
Sm2 0.0721 0.1463 0.5000  1 Pr 3.08, 1 Er 3.17
Sm3 0.1463 0.6463 0.0741  1 Pr 3.08, 1 Er 3.17
Sm4 0.3537 0.4279 0.5000  1 Pr 3.08, 1 Er 3.17
Sm5 0.4279 0.9279 0.0741  1 Pr 3.08, 1 Er 3.17
Sm6 0.5000 0.5000 0.0000  4 Pr 3.50, 8 Sm 3.87
Sm7 0.5721 0.0721 0.9259  1 Pr 3.08, 1 Er 3.17
Sm8 0.6463 0.5721 0.5000  1 Pr 3.08, 1 Er 3.17
Sm9 0.8537 0.3537 0.9259  1 Pr 3.08, 1 Er 3.17
Sm10 0.9279 0.8537 0.5000  1 Pr 3.08, 1 Er 3.17
Er1 0.2500 0.7500 0.5000  4 Sm 3.17
Er2 0.7500 0.2500 0.5000  4 Sm 3.17

---

Record 7
Material: PmPr6Sm2Er3
Method: DFT, PBE-GGA
State: relaxed

Output
The density of states at the Fermi level comes out at 14.12 states/eV/cell. As for the electronic total energy: -56.39 eV for the cell shown. The formation energy comes out at 0.014 eV/atom.

Cell: 6.3321 6.3321 11.9604 Å, 95.05 95.05 120.01°
Last column: nearest neighbours and their distance in Å.
Fractional positions:
Pm1 0.0000 0.0000 0.0000  6 Sm 3.66, 6 Pr 3.66
Pr1 0.0847 0.4182 0.2537  3 Er 3.59, 6 Pr 3.65-3.66, 2 Sm 3.66, 1 Pm 3.66
Pr2 0.2487 0.2487 0.7463  3 Er 3.59, 6 Pr 3.65-3.66, 1 Pm 3.66, 2 Sm 3.66
Pr3 0.4182 0.0847 0.2537  3 Er 3.59, 6 Pr 3.65-3.66, 2 Sm 3.66, 1 Pm 3.66
Pr4 0.5818 0.9153 0.7463  3 Er 3.59, 6 Pr 3.65-3.66, 2 Sm 3.66, 1 Pm 3.66
Pr5 0.7513 0.7513 0.2537  3 Er 3.59, 6 Pr 3.65-3.66, 1 Pm 3.66, 2 Sm 3.66
Pr6 0.9153 0.5818 0.7463  3 Er 3.59, 6 Pr 3.65-3.66, 2 Sm 3.66, 1 Pm 3.66
Sm1 0.3334 0.6666 0.0000  3 Sm 3.65-3.66, 3 Pm 3.66, 6 Pr 3.66
Sm2 0.6666 0.3334 0.0000  3 Sm 3.65-3.66, 3 Pm 3.66, 6 Pr 3.66
Er1 0.1666 0.8334 0.5000  6 Pr 3.59, 6 Er 3.66
Er2 0.5000 0.5000 0.5000  6 Pr 3.59, 6 Er 3.66
Er3 0.8334 0.1666 0.5000  6 Pr 3.59, 6 Er 3.66

---

Record 8
Material: Pm2Pr2SmEr
Method: DFT, PBE-GGA
State: relaxed

Output
The density of states at the Fermi level comes out at 16.92 states/eV/cell. As for the electronic total energy: -55.99 eV for the cell shown. The formation energy comes out at 0.058 eV/atom.

Cell: 7.0996 5.7605 9.9862 Å, 90.00 90.00 90.00°
Last column: nearest neighbours and their distance in Å.
Fractional positions:
Pm1 0.2500 0.0000 0.1638  2 Er 3.36, 7 Pr 3.37-3.76
Pm2 0.2500 0.5000 0.6681  2 Pr 3.29, 3 Er 3.30-3.55
Pm3 0.7500 0.0000 0.8362  2 Er 3.36, 7 Pr 3.37-3.76
Pm4 0.7500 0.5000 0.3319  2 Pr 3.29, 3 Er 3.30-3.55
Pr1 0.0000 0.5000 0.0000  6 Pr 3.55-3.80, 6 Pm 3.76, 2 Er 3.81
Pr2 0.2500 0.0000 0.8265  5 Pm 3.29-3.55
Pr3 0.5000 0.5000 0.0000  6 Pr 3.55-3.80, 6 Pm 3.76, 2 Er 3.81
Pr4 0.7500 0.0000 0.1735  5 Pm 3.29-3.55
Sm1 0.0000 0.0000 0.5000  2 Sm 3.55, 2 Pr 3.71, 4 Er 3.75, 6 Pm 3.78-3.80
Sm2 0.5000 0.0000 0.5000  2 Sm 3.55, 2 Pr 3.71, 4 Er 3.75, 6 Pm 3.78-3.80
Er1 0.2500 0.5000 0.3375  5 Pm 3.30-3.55
Er2 0.7500 0.5000 0.6625  5 Pm 3.30-3.55